No. 1
# DyOsW, relaxed, DFT GGA-PBE
data_DyOsW
_chemical_formula_sum 'Dy2 Os2 W2'
_cell_length_a 5.1414
_cell_length_b 5.1414
_cell_length_c 5.5259
_cell_angle_alpha 106.11
_cell_angle_beta 106.11
_cell_angle_gamma 113.81
_symmetry_space_group_name_H-M 'P 1'
_symmetry_Int_Tables_number 1
loop_
_symmetry_equiv_pos_as_xyz
'x,y,z'
loop_
_atom_site_label
_atom_site_fract_x
_atom_site_fract_y
_atom_site_fract_z
_atom_site_occupancy
Dy1 0.6722 0.3278 0.0000 1
Dy2 0.3278 0.6722 0.0000 1
W1 0.8444 0.8444 0.6888 1
W2 0.1556 0.1556 0.3112 1
Os1 0.7500 0.2500 0.5000 1
Os2 0.2500 0.7500 0.5000 1
# - Energy of formation: 0.14 eV per atom
# - V: 19.18 A^3/atom
# - Space group: No. 69

***

No. 2
# DyYOs, relaxed, DFT GGA-PBE
data_DyYOs
_chemical_formula_sum 'Dy4 Y4 Os4'
_cell_length_a 6.7694
_cell_length_b 6.8165
_cell_length_c 6.7586
_cell_angle_alpha 90.00
_cell_angle_beta 101.76
_cell_angle_gamma 90.00
_symmetry_space_group_name_H-M 'P 1'
_symmetry_Int_Tables_number 1
loop_
_symmetry_equiv_pos_as_xyz
'x,y,z'
loop_
_atom_site_label
_atom_site_fract_x
_atom_site_fract_y
_atom_site_fract_z
_atom_site_occupancy
Os1 0.5013 0.4972 0.2463 1
Os2 0.4987 0.5028 0.7537 1
Os3 0.0013 0.0028 0.7463 1
Os4 0.9987 0.9972 0.2537 1
Dy1 0.2003 0.3279 0.9339 1
Dy2 0.7997 0.6721 0.0661 1
Dy3 0.2997 0.8279 0.5661 1
Dy4 0.7003 0.1721 0.4339 1
Y1 0.3000 0.8276 0.0651 1
Y2 0.8000 0.6724 0.5651 1
Y3 0.7000 0.1724 0.9349 1
Y4 0.2000 0.3276 0.4349 1
# - Energy of formation: -0.09 eV per atom
# - V: 25.44 A^3/atom
# - Energy relative to the lowest polymorph listed for this composition: 124.6 meV/atom
# - Space group: No. 14

***

No. 3
# Dy2YOs, relaxed, DFT GGA-PBE
data_Dy2YOs
_chemical_formula_sum 'Dy2 Y1 Os1'
_cell_length_a 3.4566
_cell_length_b 3.4566
_cell_length_c 11.0045
_cell_angle_alpha 80.96
_cell_angle_beta 80.96
_cell_angle_gamma 60.00
_symmetry_space_group_name_H-M 'P 1'
_symmetry_Int_Tables_number 1
loop_
_symmetry_equiv_pos_as_xyz
'x,y,z'
loop_
_atom_site_label
_atom_site_fract_x
_atom_site_fract_y
_atom_site_fract_z
_atom_site_occupancy
Y1 0.0000 0.0000 0.0000 1
Os1 0.5000 0.5000 0.5000 1
Dy1 0.1055 0.1055 0.6834 1
Dy2 0.8945 0.8945 0.3166 1
# - Energy of formation: 0.27 eV per atom
# - V: 27.99 A^3/atom
# - Energy relative to the lowest polymorph listed for this composition: 523.2 meV/atom
# - Space group: No. 166

***

No. 4
# DyY2Os, relaxed, DFT GGA-PBE
data_DyY2Os
_chemical_formula_sum 'Dy1 Y2 Os1'
_cell_length_a 3.4409
_cell_length_b 3.4409
_cell_length_c 11.0640
_cell_angle_alpha 81.05
_cell_angle_beta 81.05
_cell_angle_gamma 60.00
_symmetry_space_group_name_H-M 'P 1'
_symmetry_Int_Tables_number 1
loop_
_symmetry_equiv_pos_as_xyz
'x,y,z'
loop_
_atom_site_label
_atom_site_fract_x
_atom_site_fract_y
_atom_site_fract_z
_atom_site_occupancy
Y1 0.1049 0.1049 0.6852 1
Y2 0.8951 0.8951 0.3148 1
Os1 0.5000 0.5000 0.5000 1
Dy1 0.0000 0.0000 0.0000 1
# - Energy of formation: 0.31 eV per atom
# - V: 27.90 A^3/atom
# - Energy relative to the lowest polymorph listed for this composition: 549.8 meV/atom
# - Space group: No. 166

***

No. 5
# DyYOs, relaxed, DFT GGA-PBE
data_DyYOs
_chemical_formula_sum 'Dy1 Y1 Os1'
_cell_length_a 3.4007
_cell_length_b 3.4007
_cell_length_c 7.0187
_cell_angle_alpha 104.02
_cell_angle_beta 104.02
_cell_angle_gamma 90.00
_symmetry_space_group_name_H-M 'P 1'
_symmetry_Int_Tables_number 1
loop_
_symmetry_equiv_pos_as_xyz
'x,y,z'
loop_
_atom_site_label
_atom_site_fract_x
_atom_site_fract_y
_atom_site_fract_z
_atom_site_occupancy
Y1 0.0407 0.0407 0.0814 1
Os1 0.6674 0.6674 0.3348 1
Dy1 0.2919 0.2919 0.5838 1
# - Energy of formation: -0.22 eV per atom
# - V: 25.42 A^3/atom
# - Energy relative to the lowest polymorph listed for this composition: 0.0 meV/atom
# - Space group: No. 107

***

No. 6
# DyYOs, relaxed, DFT GGA-PBE
data_DyYOs
_chemical_formula_sum 'Dy2 Y2 Os2'
_cell_length_a 3.3663
_cell_length_b 7.0653
_cell_length_c 6.7827
_cell_angle_alpha 103.99
_cell_angle_beta 90.00
_cell_angle_gamma 89.97
_symmetry_space_group_name_H-M 'P 1'
_symmetry_Int_Tables_number 1
loop_
_symmetry_equiv_pos_as_xyz
'x,y,z'
loop_
_atom_site_label
_atom_site_fract_x
_atom_site_fract_y
_atom_site_fract_z
_atom_site_occupancy
Dy1 0.5633 0.8222 0.0868 1
Dy2 0.5628 0.3061 0.2093 1
Y1 0.5633 0.8210 0.5869 1
Y2 0.5628 0.3074 0.7092 1
Os1 0.0631 0.0644 0.9003 1
Os2 0.0630 0.0639 0.3958 1
# - Energy of formation: -0.18 eV per atom
# - V: 26.09 A^3/atom
# - Energy relative to the lowest polymorph listed for this composition: 41.3 meV/atom
# - Space group: No. 10

***

No. 7
# Dy2YOs, relaxed, DFT GGA-PBE
data_Dy2YOs
_chemical_formula_sum 'Dy8 Y4 Os4'
_cell_length_a 6.3246
_cell_length_b 7.4212
_cell_length_c 9.0602
_cell_angle_alpha 90.00
_cell_angle_beta 90.00
_cell_angle_gamma 90.00
_symmetry_space_group_name_H-M 'P 1'
_symmetry_Int_Tables_number 1
loop_
_symmetry_equiv_pos_as_xyz
'x,y,z'
loop_
_atom_site_label
_atom_site_fract_x
_atom_site_fract_y
_atom_site_fract_z
_atom_site_occupancy
Dy1 0.1664 0.6745 0.0628 1
Dy2 0.3336 0.1745 0.4372 1
Dy3 0.8336 0.3255 0.5628 1
Dy4 0.6664 0.8255 0.9372 1
Dy5 0.8336 0.3255 0.9372 1
Dy6 0.6664 0.8255 0.5628 1
Dy7 0.1664 0.6745 0.4372 1
Dy8 0.3336 0.1745 0.0628 1
Y1 0.6276 0.5389 0.2500 1
Y2 0.8724 0.0389 0.2500 1
Y3 0.3724 0.4611 0.7500 1
Y4 0.1276 0.9611 0.7500 1
Os1 0.0424 0.3836 0.2500 1
Os2 0.4576 0.8836 0.2500 1
Os3 0.9576 0.6164 0.7500 1
Os4 0.5424 0.1164 0.7500 1
# - Energy of formation: -0.25 eV per atom
# - V: 26.58 A^3/atom
# - Energy relative to the lowest polymorph listed for this composition: 0.0 meV/atom
# - Space group: No. 62

***

No. 8
# DyYOs4, relaxed, DFT GGA-PBE
data_DyYOs4
_chemical_formula_sum 'Dy1 Y1 Os4'
_cell_length_a 5.3593
_cell_length_b 5.3593
_cell_length_c 5.3593
_cell_angle_alpha 60.00
_cell_angle_beta 60.00
_cell_angle_gamma 60.00
_symmetry_space_group_name_H-M 'P 1'
_symmetry_Int_Tables_number 1
loop_
_symmetry_equiv_pos_as_xyz
'x,y,z'
loop_
_atom_site_label
_atom_site_fract_x
_atom_site_fract_y
_atom_site_fract_z
_atom_site_occupancy
Y1 0.2500 0.2500 0.2500 1
Os1 0.6250 0.6250 0.1249 1
Os2 0.6250 0.1249 0.6250 1
Os3 0.6250 0.6250 0.6250 1
Os4 0.1249 0.6250 0.6250 1
Dy1 0.0000 0.0000 0.0000 1
# - Energy of formation: -0.27 eV per atom
# - V: 18.14 A^3/atom
# - Space group: No. 216

***

No. 9
# DyY2Os, relaxed, DFT GGA-PBE
data_DyY2Os
_chemical_formula_sum 'Dy1 Y2 Os1'
_cell_length_a 3.4086
_cell_length_b 3.4086
_cell_length_c 9.2371
_cell_angle_alpha 90.00
_cell_angle_beta 90.00
_cell_angle_gamma 90.00
_symmetry_space_group_name_H-M 'P 1'
_symmetry_Int_Tables_number 1
loop_
_symmetry_equiv_pos_as_xyz
'x,y,z'
loop_
_atom_site_label
_atom_site_fract_x
_atom_site_fract_y
_atom_site_fract_z
_atom_site_occupancy
Y1 0.0000 0.0000 0.8193 1
Y2 0.0000 0.0000 0.1807 1
Os1 0.5000 0.5000 0.0000 1
Dy1 0.5000 0.5000 0.5000 1
# - Energy of formation: -0.08 eV per atom
# - V: 26.83 A^3/atom
# - Energy relative to the lowest polymorph listed for this composition: 165.1 meV/atom
# - Space group: No. 123

***

No. 10
# Dy4YOs2, relaxed, DFT GGA-PBE
data_Dy4YOs2
_chemical_formula_sum 'Dy8 Y2 Os4'
_cell_length_a 6.2924
_cell_length_b 7.9231
_cell_length_c 7.8075
_cell_angle_alpha 112.23
_cell_angle_beta 90.00
_cell_angle_gamma 90.00
_symmetry_space_group_name_H-M 'P 1'
_symmetry_Int_Tables_number 1
loop_
_symmetry_equiv_pos_as_xyz
'x,y,z'
loop_
_atom_site_label
_atom_site_fract_x
_atom_site_fract_y
_atom_site_fract_z
_atom_site_occupancy
Dy1 0.5014 0.4187 0.7601 1
Dy2 0.2500 0.2501 0.3254 1
Dy3 0.7500 0.7499 0.6746 1
Dy4 0.9986 0.4187 0.7601 1
Dy5 0.7500 0.0205 0.3785 1
Dy6 0.0014 0.5813 0.2399 1
Dy7 0.4986 0.5813 0.2399 1
Dy8 0.2500 0.9795 0.6215 1
Y1 0.2500 0.8405 0.9741 1
Y2 0.7500 0.1595 0.0259 1
Os1 0.2500 0.2557 0.9752 1
Os2 0.7500 0.7443 0.0248 1
Os3 0.7500 0.3766 0.4140 1
Os4 0.2500 0.6234 0.5860 1
# - Energy of formation: -0.17 eV per atom
# - V: 25.74 A^3/atom
# - Space group: No. 11

***

No. 11
# DyY2Os, relaxed, DFT GGA-PBE
data_DyY2Os
_chemical_formula_sum 'Dy4 Y8 Os4'
_cell_length_a 6.3688
_cell_length_b 7.3959
_cell_length_c 9.1091
_cell_angle_alpha 90.00
_cell_angle_beta 90.00
_cell_angle_gamma 90.00
_symmetry_space_group_name_H-M 'P 1'
_symmetry_Int_Tables_number 1
loop_
_symmetry_equiv_pos_as_xyz
'x,y,z'
loop_
_atom_site_label
_atom_site_fract_x
_atom_site_fract_y
_atom_site_fract_z
_atom_site_occupancy
Dy1 0.6312 0.5413 0.2500 1
Dy2 0.8688 0.0413 0.2500 1
Dy3 0.3688 0.4587 0.7500 1
Dy4 0.1312 0.9587 0.7500 1
Y1 0.1690 0.6743 0.0633 1
Y2 0.3310 0.1743 0.4367 1
Y3 0.8310 0.3257 0.5633 1
Y4 0.6690 0.8257 0.9367 1
Y5 0.8310 0.3257 0.9367 1
Y6 0.6690 0.8257 0.5633 1
Y7 0.1690 0.6743 0.4367 1
Y8 0.3310 0.1743 0.0633 1
Os1 0.0350 0.3830 0.2500 1
Os2 0.4650 0.8830 0.2500 1
Os3 0.9650 0.6170 0.7500 1
Os4 0.5350 0.1170 0.7500 1
# - Energy of formation: -0.24 eV per atom
# - V: 26.82 A^3/atom
# - Energy relative to the lowest polymorph listed for this composition: 0.0 meV/atom
# - Space group: No. 62

***

No. 12
# Dy3YOs, relaxed, DFT GGA-PBE
data_Dy3YOs
_chemical_formula_sum 'Dy3 Y1 Os1'
_cell_length_a 5.4220
_cell_length_b 5.4220
_cell_length_c 5.4220
_cell_angle_alpha 90.00
_cell_angle_beta 90.00
_cell_angle_gamma 90.00
_symmetry_space_group_name_H-M 'P 1'
_symmetry_Int_Tables_number 1
loop_
_symmetry_equiv_pos_as_xyz
'x,y,z'
loop_
_atom_site_label
_atom_site_fract_x
_atom_site_fract_y
_atom_site_fract_z
_atom_site_occupancy
Y1 0.5000 0.5000 0.5000 1
Os1 0.0000 0.0000 0.0000 1
Dy1 0.0000 0.5000 0.0000 1
Dy2 0.0000 0.0000 0.5000 1
Dy3 0.5000 0.0000 0.0000 1
# - Energy of formation: 0.03 eV per atom
# - V: 31.88 A^3/atom
# - Energy relative to the lowest polymorph listed for this composition: 89.8 meV/atom
# - Space group: No. 221

***

No. 13
# Dy2YOs, relaxed, DFT GGA-PBE
data_Dy2YOs
_chemical_formula_sum 'Dy4 Y2 Os2'
_cell_length_a 4.0137
_cell_length_b 6.2482
_cell_length_c 8.9688
_cell_angle_alpha 90.00
_cell_angle_beta 90.00
_cell_angle_gamma 108.73
_symmetry_space_group_name_H-M 'P 1'
_symmetry_Int_Tables_number 1
loop_
_symmetry_equiv_pos_as_xyz
'x,y,z'
loop_
_atom_site_label
_atom_site_fract_x
_atom_site_fract_y
_atom_site_fract_z
_atom_site_occupancy
Dy1 0.3549 0.7098 0.5655 1
Dy2 0.6451 0.2902 0.4345 1
Dy3 0.3549 0.7098 0.9345 1
Dy4 0.6451 0.2902 0.0655 1
Y1 0.9261 0.8523 0.2500 1
Y2 0.0739 0.1477 0.7500 1
Os1 0.7424 0.4847 0.7500 1
Os2 0.2576 0.5153 0.2500 1
# - Energy of formation: -0.23 eV per atom
# - V: 26.63 A^3/atom
# - Energy relative to the lowest polymorph listed for this composition: 17.3 meV/atom
# - Space group: No. 63

***

No. 14
# Dy2YOs, relaxed, DFT GGA-PBE
data_Dy2YOs
_chemical_formula_sum 'Dy2 Y1 Os1'
_cell_length_a 3.3951
_cell_length_b 3.3951
_cell_length_c 9.3366
_cell_angle_alpha 90.00
_cell_angle_beta 90.00
_cell_angle_gamma 90.00
_symmetry_space_group_name_H-M 'P 1'
_symmetry_Int_Tables_number 1
loop_
_symmetry_equiv_pos_as_xyz
'x,y,z'
loop_
_atom_site_label
_atom_site_fract_x
_atom_site_fract_y
_atom_site_fract_z
_atom_site_occupancy
Y1 0.5000 0.5000 0.5000 1
Os1 0.5000 0.5000 0.0000 1
Dy1 0.0000 0.0000 0.8218 1
Dy2 0.0000 0.0000 0.1782 1
# - Energy of formation: -0.11 eV per atom
# - V: 26.90 A^3/atom
# - Energy relative to the lowest polymorph listed for this composition: 146.8 meV/atom
# - Space group: No. 123